(1)
NaMg30TiO32 | GGA-PBEsol | relaxed Values from VASP.

Structure (Quantum ESPRESSO input):
```
&SYSTEM
  ibrav = 0, nat = 64, ntyp = 4
/
ATOMIC_SPECIES
Na 22.99 Na.upf
Mg 24.30 Mg.upf
Ti 47.87 Ti.upf
O 16.00 O.upf
CELL_PARAMETERS angstrom
8.470 0.000 0.000
0.000 8.470 0.000
0.000 0.000 8.449
ATOMIC_POSITIONS angstrom
Na 0.000 0.000 0.000
Mg 0.000 2.143 2.079
Mg 0.000 2.143 6.370
Mg 0.000 4.235 0.000
Mg 0.000 4.235 4.224
Mg 0.000 6.327 2.079
Mg 0.000 6.327 6.370
Mg 2.109 2.109 0.000
Mg 2.109 6.361 0.000
Mg 2.121 4.235 2.105
Mg 2.121 4.235 6.344
Mg 2.126 2.126 4.224
Mg 2.126 6.344 4.224
Mg 2.143 0.000 2.079
Mg 2.143 0.000 6.370
Mg 4.235 0.000 0.000
Mg 4.235 0.000 4.224
Mg 4.235 2.121 2.105
Mg 4.235 2.121 6.344
Mg 4.235 4.235 0.000
Mg 4.235 4.235 4.224
Mg 4.235 6.350 2.105
Mg 4.235 6.350 6.344
Mg 6.327 0.000 2.079
Mg 6.327 0.000 6.370
Mg 6.344 2.126 4.224
Mg 6.344 6.344 4.224
Mg 6.350 4.235 2.105
Mg 6.350 4.235 6.344
Mg 6.361 2.109 0.000
Mg 6.361 6.361 0.000
Ti 0.000 0.000 4.224
O 0.000 0.000 2.269
O 0.000 0.000 6.179
O 0.000 2.118 4.224
O 0.000 2.219 0.000
O 0.000 4.235 2.139
O 0.000 4.235 6.310
O 0.000 6.252 0.000
O 0.000 6.352 4.224
O 2.111 2.111 2.117
O 2.111 2.111 6.331
O 2.111 6.359 2.117
O 2.111 6.359 6.331
O 2.118 0.000 4.224
O 2.118 4.235 4.224
O 2.134 4.235 0.000
O 2.219 0.000 0.000
O 4.235 0.000 2.139
O 4.235 0.000 6.310
O 4.235 2.118 4.224
O 4.235 2.134 0.000
O 4.235 4.235 2.121
O 4.235 4.235 6.327
O 4.235 6.336 0.000
O 4.235 6.352 4.224
O 6.252 0.000 0.000
O 6.336 4.235 0.000
O 6.352 0.000 4.224
O 6.352 4.235 4.224
O 6.359 2.111 2.117
O 6.359 2.111 6.331
O 6.359 6.359 2.117
O 6.359 6.359 6.331
```

Results
For the total DFT energy (no corrections), the calculation gives -6.2917 eV per atom. For the magnetic moment, the calculation gives 1.00 μB/f.u. Its space group is No. 123.

(2)
Na2MgTiO | GGA-PBEsol | relaxed Values from VASP.

Structure (Quantum ESPRESSO input):
```
&SYSTEM
  ibrav = 0, nat = 5, ntyp = 4
/
ATOMIC_SPECIES
Na 22.99 Na.upf
Mg 24.30 Mg.upf
Ti 47.87 Ti.upf
O 16.00 O.upf
CELL_PARAMETERS angstrom
5.911 0.000 0.000
0.000 5.911 0.000
0.000 0.000 5.399
ATOMIC_POSITIONS angstrom
Na 0.000 2.955 0.000
Na 2.955 0.000 0.000
Mg 0.000 0.000 2.700
Ti 0.000 0.000 0.000
O 2.955 2.955 2.700
```

Results
For the total DFT energy (no corrections), the calculation gives -2.1994 eV per atom. For the magnetic moment, the calculation gives 4.37 μB/f.u. Its space group is No. 123.

(3)
Na3Mg2V3O12 | GGA-PBEsol | relaxed Values from VASP.

Structure (Quantum ESPRESSO input):
```
&SYSTEM
  ibrav = 0, nat = 80, ntyp = 4
/
ATOMIC_SPECIES
Na 22.99 Na.upf
Mg 24.30 Mg.upf
V 50.94 V.upf
O 16.00 O.upf
CELL_PARAMETERS angstrom
-6.228 6.228 6.228
6.228 -6.228 6.228
6.228 6.228 -6.228
ATOMIC_POSITIONS angstrom
Na 3.114 1.557 0.000
Na 6.228 3.114 -1.557
Na 1.557 0.000 3.114
Na 7.786 0.000 3.114
Na 0.000 3.114 1.557
Na 3.114 -1.557 6.228
Na 3.114 7.786 0.000
Na 6.228 3.114 4.671
Na -1.557 6.228 3.114
Na 4.671 6.228 3.114
Na 0.000 3.114 7.786
Na 3.114 4.671 6.228
Mg 0.000 0.000 0.000
Mg 3.114 3.114 -3.114
Mg 3.114 -3.114 3.114
Mg 6.228 0.000 0.000
Mg -3.114 3.114 3.114
Mg 0.000 6.228 0.000
Mg 0.000 0.000 6.228
Mg 3.114 3.114 3.114
V 9.343 1.557 0.000
V 6.228 -3.114 4.671
V 4.671 6.228 -3.114
V 4.671 0.000 3.114
V 3.114 4.671 0.000
V 6.228 3.114 1.557
V 0.000 3.114 4.671
V 3.114 1.557 6.228
V 1.557 6.228 3.114
V 1.557 0.000 9.343
V 0.000 9.343 1.557
V -3.114 4.671 6.228
O 1.910 -0.512 0.632
O 7.433 3.746 -3.626
O 8.138 0.512 0.632
O 7.433 -2.483 3.626
O 5.717 -0.632 1.910
O 9.854 -1.204 2.483
O 0.632 1.910 -0.512
O 8.711 2.603 -1.204
O 3.746 3.626 -1.204
O 5.597 1.910 0.512
O -0.512 0.632 1.910
O 3.626 -1.204 3.746
O 5.717 5.597 -1.910
O 3.626 1.204 2.483
O 3.746 -3.626 7.433
O 5.597 -1.910 5.717
O 2.483 3.626 1.204
O 6.860 4.318 0.512
O 3.626 7.433 -2.483
O 5.717 0.632 4.318
O 1.910 5.717 -0.632
O 7.433 2.483 2.603
O 1.204 2.483 3.626
O 1.910 0.512 5.597
O 4.318 5.717 0.632
O 5.024 3.746 2.603
O -1.204 3.746 3.626
O 4.318 0.512 6.860
O 0.512 5.597 1.910
O 2.603 -1.204 8.711
O -0.632 1.910 5.717
O 3.746 2.603 5.024
O 0.632 8.138 0.512
O 2.483 9.854 -1.204
O 2.603 5.024 3.746
O 0.512 0.632 8.138
O 2.603 7.433 2.483
O 6.740 5.597 4.318
O 0.632 4.318 5.717
O 2.483 2.603 7.433
O -2.483 3.626 7.433
O 5.597 4.318 6.740
O -3.626 7.433 3.746
O 0.512 6.860 4.318
O -1.204 8.711 2.603
O -1.910 5.717 5.597
O -1.204 2.483 9.854
O 4.318 6.740 5.597
```

Results
For the total DFT energy (no corrections), the calculation gives -7.1608 eV per atom. For the magnetic moment, the calculation gives 2.12 μB/f.u. Its space group is No. 230.

(4)
Na3Mg2W3O12 | GGA-PBEsol | relaxed Values from VASP.

Structure (Quantum ESPRESSO input):
```
&SYSTEM
  ibrav = 0, nat = 40, ntyp = 4
/
ATOMIC_SPECIES
Na 22.99 Na.upf
Mg 24.30 Mg.upf
W 183.84 W.upf
O 16.00 O.upf
CELL_PARAMETERS angstrom
5.991 -6.644 0.000
5.991 6.644 0.000
-2.762 0.000 6.605
ATOMIC_POSITIONS angstrom
Na 0.000 0.000 0.000
Na -1.381 0.000 3.303
Na 3.920 3.569 4.954
Na 5.301 0.329 1.651
Na 3.920 -0.329 4.954
Na 5.301 -3.569 1.651
Mg 1.065 2.096 5.810
Mg 2.446 -2.096 2.508
Mg 6.775 2.096 4.098
Mg 8.156 -2.096 0.795
W 2.247 1.535 2.516
W 5.301 3.703 1.651
W 0.866 -1.535 5.819
W 8.355 1.535 0.787
W 3.920 -3.703 4.954
W 6.974 -1.535 4.090
O 3.917 4.881 1.810
O 0.588 1.125 2.107
O 2.853 2.431 1.045
O 2.182 2.352 4.121
O -0.792 -1.125 5.410
O 6.685 4.881 1.493
O 5.608 2.485 0.265
O 4.994 2.485 3.038
O 1.676 0.069 5.982
O 3.056 -0.069 2.680
O 1.472 -2.431 4.347
O 5.658 2.352 5.787
O 3.563 -2.352 0.818
O 7.749 2.431 2.258
O 6.165 0.069 3.926
O 7.546 -0.069 0.623
O 4.228 -2.485 3.568
O 3.613 -2.485 6.340
O 2.537 -4.881 5.113
O 10.014 1.125 1.196
O 7.039 -2.352 2.484
O 6.369 -2.431 5.561
O 8.633 -1.125 4.499
O 5.304 -4.881 4.795
```

Results
For the total DFT energy (no corrections), the calculation gives -7.7755 eV per atom. For the magnetic moment, the calculation gives 1.00 μB/f.u. Its space group is No. 15.

The lowest total DFT energy (no corrections) belongs to which entry? Na3Mg2W3O12